A plane-wave DFT calculation with PBE was carried out for a relaxed Re2MoRu crystal.

Cell: 4.795 4.795 4.787 Å, 80.55 80.55 33.51°
Positions (direct):
Mo 0.750 0.750 0.750
Re 0.994 0.994 0.009
Re 0.506 0.506 0.491
Ru 0.250 0.250 0.250

Calculated values
E above lowest polymorph: 0.21 eV/f.u.
Calculated formation energy: 0.066 eV/atom
Mass density: 15.8 Mg/m³

A plane-wave DFT calculation with PBE was carried out for a relaxed Re4MoRu crystal.

Cell: 5.115 5.115 5.115 Å, 60.00 60.00 60.00°
Positions (direct):
Re 0.873 0.376 0.376
Re 0.376 0.376 0.873
Re 0.376 0.873 0.376
Re 0.376 0.376 0.376
Mo 0.000 0.000 0.000
Ru 0.750 0.750 0.750

Calculated values
E above lowest polymorph: 1.06 eV/f.u.
Calculated formation energy: 0.254 eV/atom
Mass density: 16.5 Mg/m³

A plane-wave DFT calculation with PBE was carried out for a relaxed Re2MoRu crystal.

Cell: 4.783 4.783 4.803 Å, 80.43 80.43 33.61°
Positions (direct):
Mo 0.753 0.753 0.744
Re 0.996 0.996 0.009
Re 0.248 0.248 0.254
Ru 0.504 0.504 0.492

Calculated values
E above lowest polymorph: 0.27 eV/f.u.
Calculated formation energy: 0.082 eV/atom
Mass density: 15.8 Mg/m³

mass density of number 2 (Re4MoRu)?
16.5 Mg/m³